1.
{
  "formula": "Ba6Zn5Ag",
  "functional": "PBE-GGA",
  "state": "optimized geometry",
  "crystal_system": "monoclinic",
  "n_ef_per_ev_atom": 1.008,
  "delta_e_f_ev_per_atom": -0.168,
  "lattice_angstrom": [[5.718, 0.002, -1.199], [-0.004, 8.159, -0.001], [-1.082, 0.000, 9.181]],
  "species": ["Zn", "Zn", "Zn", "Zn", "Zn", "Ba", "Ba", "Ba", "Ba", "Ba", "Ba", "Ag"],
  "frac_coords": [[0.670, 0.000, 0.343], [0.335, 0.500, 0.669], [0.665, 0.500, 0.331], [0.330, 0.000, 0.657], [0.000, 0.500, 0.000], [0.834, 0.251, 0.667], [0.500, 0.251, 0.000], [0.166, 0.749, 0.333], [0.500, 0.749, 0.000], [0.834, 0.749, 0.667], [0.166, 0.251, 0.333], [0.000, 0.000, 0.000]]
}

=====

2.
{
  "formula": "Ba4ZnAg",
  "functional": "PBE-GGA",
  "state": "optimized geometry",
  "polymorph_energy_mev_per_atom": 88.4,
  "crystal_system": "monoclinic",
  "n_ef_per_ev_atom": 1.430,
  "delta_e_f_ev_per_atom": -0.060,
  "lattice_angstrom": [[5.810, 0.000, -0.001], [0.000, 5.811, -0.001], [0.006, 0.008, 8.191]],
  "species": ["Ba", "Ba", "Ba", "Ba", "Ag", "Zn"],
  "frac_coords": [[0.002, 0.498, 0.754], [0.001, 0.497, 0.242], [0.501, 0.998, 0.754], [0.501, 0.997, 0.242], [0.001, 0.997, 0.498], [0.501, 0.497, 0.998]]
}

=====

3.
{
  "formula": "BaZn6Ag12",
  "functional": "PBE-GGA",
  "state": "optimized geometry",
  "crystal_system": "trigonal",
  "n_ef_per_ev_atom": 0.492,
  "delta_e_f_ev_per_atom": 0.013,
  "lattice_angstrom": [[7.482, 0.042, 0.059], [-1.814, 7.259, 0.059], [-1.814, -2.337, 6.873]],
  "species": ["Zn", "Zn", "Zn", "Zn", "Zn", "Zn", "Ag", "Ag", "Ag", "Ag", "Ag", "Ag", "Ag", "Ag", "Ag", "Ag", "Ag", "Ag", "Ba"],
  "frac_coords": [[0.304, 0.735, 0.735], [0.696, 0.265, 0.265], [0.265, 0.696, 0.265], [0.735, 0.735, 0.304], [0.735, 0.304, 0.735], [0.265, 0.265, 0.696], [0.411, 0.411, 0.144], [0.500, 0.883, 0.117], [0.117, 0.500, 0.883], [0.500, 0.117, 0.883], [0.144, 0.411, 0.411], [0.589, 0.589, 0.856], [0.883, 0.117, 0.500], [0.117, 0.883, 0.500], [0.856, 0.589, 0.589], [0.883, 0.500, 0.117], [0.589, 0.856, 0.589], [0.411, 0.144, 0.411], [0.000, 0.000, 0.000]]
}